LiAc12Ni5: optimized geometry, PBE-GGA.

E_form: -2.42 eV/f.u.
Fermi-level density of states: 20.15 states/eV/cell
ρ: 8.31 g cm⁻³
Magnetic moment: 0.00 μB/cell

Lattice parameters (Å, degrees): 9.2314 9.2314 9.2314 112.09 108.86 107.49
Element x y z (fractional)
Li (0.0000, 0.0000, 0.0000)
Ac (0.1145, 0.3026, 0.8120)
Ac (0.1761, 0.4890, 0.3129)
Ac (0.1761, 0.8633, 0.6871)
Ac (0.3241, 0.1950, 0.5191)
Ac (0.3241, 0.8050, 0.1291)
Ac (0.4906, 0.3026, 0.1880)
Ac (0.5094, 0.6974, 0.8120)
Ac (0.6759, 0.1950, 0.8709)
Ac (0.6759, 0.8050, 0.4809)
Ac (0.8239, 0.1367, 0.3129)
Ac (0.8239, 0.5110, 0.6871)
Ac (0.8855, 0.6974, 0.1880)
Ni (0.1271, 0.5000, 0.6271)
Ni (0.3789, 0.8789, 0.5000)
Ni (0.5000, 0.5000, 0.0000)
Ni (0.6211, 0.1211, 0.5000)
Ni (0.8729, 0.5000, 0.3729)